Entry 1:
Density functional theory data (PBE) for PuUPt after structural relaxation.

Cell lengths 6.234, 6.234, 6.234 Å; angles 90.00, 90.00, 90.00 degrees
Space group F-43m (No. 216)
Unique sites:
1 Pu 0.000 0.000 0.000 (multiplicity 4)
2 U 0.250 0.250 0.250 (multiplicity 4)
3 Pt 0.250 0.250 0.750 (multiplicity 4)

## Properties
Its total magnetization is 17.45 μB per cell. The uncorrected energy comes out at -10.70 eV per atom.

Entry 2:
Density functional theory data (PBE) for YPuPt2 after structural relaxation.

Cell lengths 4.383, 3.826, 10.822 Å; angles 90.00, 90.00, 90.00 degrees
Space group Amm2 (No. 38)
Unique sites:
1 Y 0.000 0.000 0.000 (multiplicity 2)
2 Pu 0.500 0.000 0.722 (multiplicity 2)
3 Pt 0.000 0.000 0.270 (multiplicity 2)
4 Pt 0.500 0.000 0.449 (multiplicity 2)

## Properties
Its total magnetization is 12.47 μB per cell. The uncorrected energy comes out at -9.23 eV per atom.